Entry from OQMD: a geometry-optimized LiAg2PS4 structure (GGA-PBE).

```
8
Lattice="-2.886 2.886 5.149 2.886 -2.886 5.149 2.886 2.886 -5.149" Properties=species:S:1:pos:R:3 pbc="T T T"
Li 0.000 0.000 0.000
Ag 2.886 0.000 2.575
Ag 0.000 2.886 2.575
P 0.000 0.000 5.149
S 1.227 -1.227 4.028
S 1.658 1.658 1.121
S -1.227 1.227 4.028
S 1.227 1.227 6.270
```

* VASP energy: -4.10 eV/atom


Entry from OQMD: a geometry-optimized LiPaAg structure (GGA-PBE).

```
3
Lattice="0.000 3.392 3.392 3.392 0.000 3.392 3.392 3.392 0.000" Properties=species:S:1:pos:R:3 pbc="T T T"
Li 0.000 0.000 0.000
Pa 5.088 5.088 5.088
Ag 3.392 3.392 3.392
```

* energy relative to the lowest polymorph listed for this composition: 411 meV per atom


Entry from OQMD: a geometry-optimized LiPaAg structure (GGA-PBE).

```
3
Lattice="0.000 3.352 3.352 3.352 0.000 3.352 3.352 3.352 0.000" Properties=species:S:1:pos:R:3 pbc="T T T"
Li 0.000 0.000 0.000
Pa 3.352 3.352 3.352
Ag 1.676 1.676 1.676
```

* energy relative to the lowest polymorph listed for this composition: 0 meV per atom


Entry from OQMD: a geometry-optimized LiAgPb2 structure (GGA-PBE).

```
4
Lattice="0.000 3.679 3.679 3.679 0.000 3.679 3.679 3.679 0.000" Properties=species:S:1:pos:R:3 pbc="T T T"
Li 0.000 0.000 0.000
Ag 1.840 1.840 1.840
Pb 3.679 3.679 3.679
Pb 5.519 5.519 5.519
```

* VASP energy: -3.04 eV/atom


Entry from OQMD: a geometry-optimized Li6AgPb structure (GGA-PBE).

```
8
Lattice="4.603 0.000 0.000 0.000 4.603 0.000 0.000 0.000 6.193" Properties=species:S:1:pos:R:3 pbc="T T T"
Li 0.000 0.000 0.000
Li 0.000 2.302 1.520
Li 0.000 2.302 4.673
Li 2.302 0.000 1.520
Li 2.302 0.000 4.673
Li 2.302 2.302 3.096
Ag 2.302 2.302 0.000
Pb 0.000 0.000 3.096
```

* VASP energy: -2.48 eV/atom


Entry from OQMD: a geometry-optimized Li4AgPtPb2 structure (GGA-PBE).

```
8
Lattice="4.652 0.000 0.000 0.000 4.652 0.000 0.000 0.000 6.664" Properties=species:S:1:pos:R:3 pbc="T T T"
Li 0.000 0.000 0.000
Li 0.000 2.326 1.568
Li 2.326 0.000 5.095
Li 2.326 2.326 3.332
Ag 0.000 0.000 3.332
Pt 2.326 2.326 0.000
Pb 0.000 2.326 5.074
Pb 2.326 0.000 1.590
```

* VASP energy: -3.35 eV/atom


Entry from OQMD: a geometry-optimized LiAgPbS3 structure (GGA-PBE).

```
12
Lattice="1.995 -5.867 0.000 1.995 5.867 0.000 0.000 0.000 10.857" Properties=species:S:1:pos:R:3 pbc="T T T"
Li 1.995 3.950 8.143
Li 1.995 -3.950 2.714
Ag 1.995 4.415 2.714
Ag 1.995 -4.415 8.143
Pb 1.995 0.000 0.000
Pb 1.995 0.000 5.429
S 1.995 3.966 0.283
S 1.995 3.966 5.146
S 1.995 0.536 2.714
S 1.995 -0.536 8.143
S 1.995 -3.966 5.712
S 1.995 -3.966 10.574
```

* VASP energy: -3.76 eV/atom


Entry from OQMD: a geometry-optimized LiAgTePbS2 structure (GGA-PBE).

```
12
Lattice="1.861 -6.723 0.000 1.861 6.723 0.000 0.000 0.000 11.750" Properties=species:S:1:pos:R:3 pbc="T T T"
Li 1.861 4.299 8.813
Li 1.861 -4.299 2.938
Ag 1.861 0.202 2.938
Ag 1.861 -0.202 8.813
Te 1.861 4.852 2.938
Te 1.861 -4.852 8.813
Pb 0.000 0.000 0.000
Pb 0.000 0.000 5.875
S 1.861 1.833 1.007
S 1.861 1.833 4.868
S 1.861 -1.833 6.882
S 1.861 -1.833 10.744
```

* VASP energy: -3.55 eV/atom


Entry from OQMD: a geometry-optimized LiAgTe2PbS structure (GGA-PBE).

```
12
Lattice="2.142 -7.265 0.000 2.142 7.265 0.000 0.000 0.000 10.472" Properties=species:S:1:pos:R:3 pbc="T T T"
Li 2.142 4.124 7.854
Li 2.142 -4.124 2.618
Ag 2.142 7.108 7.854
Ag 2.142 -7.108 2.618
Te 2.142 4.921 1.188
Te 2.142 4.921 4.048
Te 2.142 -4.921 6.423
Te 2.142 -4.921 9.284
Pb 2.142 0.000 0.000
Pb 2.142 0.000 5.236
S 2.142 1.527 2.618
S 2.142 -1.527 7.854
```

* VASP energy: -3.47 eV/atom


Entry from OQMD: a geometry-optimized Li4Ag2SbPb structure (GGA-PBE).

```
8
Lattice="4.670 0.000 0.000 0.000 4.670 0.000 0.000 0.000 6.689" Properties=species:S:1:pos:R:3 pbc="T T T"
Li 0.000 0.000 0.000
Li 0.000 2.335 1.661
Li 2.335 0.000 5.028
Li 2.335 2.335 3.344
Ag 0.000 2.335 5.047
Ag 2.335 0.000 1.642
Sb 2.335 2.335 0.000
Pb 0.000 0.000 3.344
```

* VASP energy: -3.00 eV/atom


Entry from OQMD: a geometry-optimized LiAg3PbSe4 structure (GGA-PBE).

```
9
Lattice="6.213 0.000 0.000 0.000 6.213 0.000 0.000 0.000 6.213" Properties=species:S:1:pos:R:3 pbc="T T T"
Li 0.000 0.000 0.000
Ag 0.000 3.106 3.106
Ag 3.106 0.000 3.106
Ag 3.106 3.106 0.000
Pb 3.106 3.106 3.106
Se 1.445 1.445 1.445
Se 1.445 4.767 4.767
Se 4.767 1.445 4.767
Se 4.767 4.767 1.445
```

* VASP energy: -3.28 eV/atom


Entry from OQMD: a geometry-optimized Li4SiAg2Pb structure (GGA-PBE).

```
8
Lattice="4.448 0.000 0.000 0.000 4.448 0.000 0.000 0.000 6.558" Properties=species:S:1:pos:R:3 pbc="T T T"
Li 0.000 0.000 0.000
Li 0.000 2.224 1.459
Li 2.224 0.000 5.100
Li 2.224 2.224 3.279
Si 2.224 2.224 0.000
Ag 0.000 2.224 5.159
Ag 2.224 0.000 1.399
Pb 0.000 0.000 3.279
```

* VASP energy: -3.06 eV/atom


Entry from OQMD: a geometry-optimized Li4Ag2SnPb structure (GGA-PBE).

```
8
Lattice="4.676 0.000 0.000 0.000 4.676 0.000 0.000 0.000 6.598" Properties=species:S:1:pos:R:3 pbc="T T T"
Li 0.000 0.000 0.000
Li 0.000 2.338 1.622
Li 2.338 0.000 4.976
Li 2.338 2.338 3.299
Ag 0.000 2.338 5.022
Ag 2.338 0.000 1.576
Sn 2.338 2.338 0.000
Pb 0.000 0.000 3.299
```

* VASP energy: -2.94 eV/atom


Entry from OQMD: a geometry-optimized LiAg3Te4Pb structure (GGA-PBE).

```
9
Lattice="6.563 0.000 0.000 0.000 6.563 0.000 0.000 0.000 6.563" Properties=species:S:1:pos:R:3 pbc="T T T"
Li 0.000 0.000 0.000
Ag 0.000 3.282 3.282
Ag 3.282 0.000 3.282
Ag 3.282 3.282 0.000
Te 1.525 1.525 1.525
Te 1.525 5.038 5.038
Te 5.038 1.525 5.038
Te 5.038 5.038 1.525
Pb 3.282 3.282 3.282
```

* VASP energy: -3.08 eV/atom


Entry from OQMD: a geometry-optimized LiAgTe3Pb structure (GGA-PBE).

```
12
Lattice="1.944 -7.137 0.000 1.944 7.137 0.000 0.000 0.000 12.128" Properties=species:S:1:pos:R:3 pbc="T T T"
Li 1.944 3.877 9.096
Li 1.944 -3.877 3.032
Ag 1.944 0.664 3.032
Ag 1.944 -0.664 9.096
Te 1.944 5.753 3.032
Te 1.944 2.456 0.832
Te 1.944 2.456 5.232
Te 1.944 -2.456 6.896
Te 1.944 -2.456 11.296
Te 1.944 -5.753 9.096
Pb 0.000 0.000 0.000
Pb 0.000 0.000 6.064
```

* VASP energy: -3.22 eV/atom


Entry from OQMD: a geometry-optimized Li4Zn2AgPb structure (GGA-PBE).

```
8
Lattice="4.479 0.000 0.000 0.000 4.479 0.000 0.000 0.000 6.494" Properties=species:S:1:pos:R:3 pbc="T T T"
Li 0.000 0.000 0.000
Li 0.000 2.240 1.504
Li 2.240 0.000 4.990
Li 2.240 2.240 3.247
Zn 0.000 2.240 5.014
Zn 2.240 0.000 1.480
Ag 2.240 2.240 0.000
Pb 0.000 0.000 3.247
```

* VASP energy: -2.33 eV/atom


Entry from OQMD: a geometry-optimized Li4ZnAgPb2 structure (GGA-PBE).

```
8
Lattice="4.706 0.000 0.000 0.000 4.706 0.000 0.000 0.000 6.655" Properties=species:S:1:pos:R:3 pbc="T T T"
Li 0.000 0.000 0.000
Li 0.000 2.353 1.664
Li 2.353 0.000 4.991
Li 2.353 2.353 3.328
Zn 0.000 0.000 3.328
Ag 2.353 2.353 0.000
Pb 0.000 2.353 4.955
Pb 2.353 0.000 1.700
```

* VASP energy: -2.65 eV/atom


Entry from OQMD: a geometry-optimized Li4ZnAg2Pb structure (GGA-PBE).

```
8
Lattice="4.540 0.000 0.000 0.000 4.540 0.000 0.000 0.000 6.574" Properties=species:S:1:pos:R:3 pbc="T T T"
Li 0.000 0.000 0.000
Li 0.000 2.270 1.484
Li 2.270 0.000 5.089
Li 2.270 2.270 3.287
Zn 2.270 2.270 0.000
Ag 0.000 2.270 5.113
Ag 2.270 0.000 1.460
Pb 0.000 0.000 3.287
```

* VASP energy: -2.52 eV/atom


Entry from OQMD: a geometry-optimized Li2AgPd structure (GGA-PBE).

```
4
Lattice="2.944 0.000 0.000 0.000 2.944 0.000 0.000 0.000 6.677" Properties=species:S:1:pos:R:3 pbc="T T T"
Li 0.000 0.000 1.533
Li 0.000 0.000 5.144
Ag 1.472 1.472 3.339
Pd 1.472 1.472 0.000
```

* energy relative to the lowest polymorph listed for this composition: 8 meV per atom


Entry from OQMD: a geometry-optimized Li2AgPd structure (GGA-PBE).

```
4
Lattice="4.068 0.000 0.000 0.000 4.068 0.000 0.000 0.000 3.508" Properties=species:S:1:pos:R:3 pbc="T T T"
Li 0.000 2.034 0.000
Li 2.034 0.000 0.000
Ag 0.000 0.000 1.754
Pd 2.034 2.034 1.754
```

* energy relative to the lowest polymorph listed for this composition: 0 meV per atom